Computed, not measured: a relaxed Pm2ReSi2 crystal at the PBE-GGA level of DFT.

a = 6.4694 Å, b = 12.1638 Å, c = 6.0891 Å
α = 90.00°, β = 90.00°, γ = 90.00°
Closest atoms and distances in Å follow each position.
Space group Ibam (No. 72)
Asymmetric unit:
Pm  0.1903  0.1443  0.0000 [8 per cell]  5 Si 3.06-3.14, 2 Re 3.07
Re  0.0000  0.5000  0.2500 [4 per cell]  4 Si 2.43
Si  0.2209  0.3976  0.0000 [8 per cell]  2 Re 2.43

Calculated values
Energy relative to the elements, uncorrected   -40.2 kJ/mol of atoms

Computed, not measured: a relaxed BeIr2 crystal at the PBE-GGA level of DFT.

a = 5.4295 Å, b = 5.4295 Å, c = 5.4295 Å
α = 90.00°, β = 90.00°, γ = 90.00°
Closest atoms and distances in Å follow each position.
Space group Fm-3m (No. 225)
Asymmetric unit:
Be  0.0000  0.0000  0.0000 [4 per cell]  8 Ir 2.35
Ir  0.2500  0.2500  0.2500 [8 per cell]  4 Be 2.35

Calculated values
Electronic total energy   -7.15 eV per atom

Computed, not measured: a relaxed ScOs2Pb crystal at the PBE-GGA level of DFT.

a = 3.0233 Å, b = 3.0233 Å, c = 27.9914 Å
α = 90.00°, β = 90.00°, γ = 120.00°
Closest atoms and distances in Å follow each position.
Space group R-3m (No. 166, hexagonal axes)
Asymmetric unit:
Sc  0.0000  0.0000  0.0000 [3 per cell]  6 Os 2.75, 6 Sc 3.02
Os  0.0000  0.0000  0.2576 [6 per cell]  3 Sc 2.75, 6 Os 3.02
Pb  0.0000  0.0000  0.5000 [3 per cell]  6 Pb 3.02, 6 Os 3.09

Calculated values
Electronic total energy   -7.57 eV per atom

Computed, not measured: a relaxed AcNdZnCo crystal at the PBE-GGA level of DFT.

a = 7.3476 Å, b = 7.3476 Å, c = 7.3476 Å
α = 90.00°, β = 90.00°, γ = 90.00°
Closest atoms and distances in Å follow each position.
Space group F-43m (No. 216)
Asymmetric unit:
Ac  0.0000  0.0000  0.0000 [4 per cell]  4 Co 3.18, 4 Zn 3.18
Nd  0.0000  0.0000  0.5000 [4 per cell]  4 Zn 3.18, 4 Co 3.18
Zn  0.2500  0.2500  0.7500 [4 per cell]  4 Ac 3.18, 4 Nd 3.18
Co  0.2500  0.2500  0.2500 [4 per cell]  4 Nd 3.18, 4 Ac 3.18

Calculated values
Electronic total energy   -4.34 eV per atom